Ba2P2Cl | PBE-GGA | relaxed

Unit cell a=8.683 b=8.683 c=4.002 alpha=90.00 beta=90.00 gamma=90.00
Sites, in units of the cell vectors:
1 P 0.413 0.913 0.000
2 P 0.913 0.587 0.000
3 P 0.587 0.087 0.000
4 P 0.087 0.413 0.000
5 Ba 0.196 0.696 0.500
6 Ba 0.696 0.804 0.500
7 Ba 0.804 0.304 0.500
8 Ba 0.304 0.196 0.500
9 Cl 0.000 0.000 0.000
10 Cl 0.500 0.500 0.000

Properties
Space-group type = P4/mbm, No. 127
E_form (uncorrected) = -1.224 eV/atom
Polymorph energy (0 for the lowest one) = 109.2 meV per atom

---

PaTlRhO6 | PBE-GGA | relaxed

Unit cell a=4.999 b=4.999 c=10.052 alpha=90.00 beta=90.00 gamma=90.00
Sites, in units of the cell vectors:
1 Pa 0.500 0.500 0.499
2 Pa 0.000 0.000 0.999
3 Tl 0.500 0.500 0.167
4 Tl 0.000 0.000 0.667
5 Rh 0.500 0.500 0.833
6 Rh 0.000 0.000 0.333
7 O 0.190 0.810 0.482
8 O 0.810 0.190 0.482
9 O 0.310 0.310 0.982
10 O 0.690 0.690 0.982
11 O 0.181 0.819 0.174
12 O 0.819 0.181 0.174
13 O 0.319 0.319 0.674
14 O 0.681 0.681 0.674
15 O 0.783 0.217 0.843
16 O 0.217 0.783 0.843
17 O 0.717 0.717 0.343
18 O 0.283 0.283 0.343

Properties
Space-group type = P4_2nm, No. 102
E_form (uncorrected) = -1.723 eV/atom

---

La3YHo2Sb6 | PBE-GGA | relaxed

Unit cell a=7.809 b=7.809 c=7.776 alpha=99.63 beta=99.63 gamma=119.99
Sites, in units of the cell vectors:
1 La 0.166 0.834 0.500
2 La 0.834 0.166 0.500
3 La 0.500 0.500 0.500
4 Y 0.000 0.000 0.000
5 Ho 0.333 0.667 0.000
6 Ho 0.667 0.333 0.000
7 Sb 0.921 0.587 0.764
8 Sb 0.744 0.744 0.236
9 Sb 0.079 0.413 0.236
10 Sb 0.587 0.921 0.764
11 Sb 0.256 0.256 0.764
12 Sb 0.413 0.079 0.236

Properties
Space-group type = C2/m, No. 12
E_form (uncorrected) = -1.200 eV/atom

---

ReAgAs | PBE-GGA | relaxed

Unit cell a=2.967 b=2.967 c=6.894 alpha=90.00 beta=90.00 gamma=120.00
Sites, in units of the cell vectors:
1 Re 0.667 0.333 0.638
2 As 0.333 0.667 0.376
3 Ag 0.000 0.000 0.986

Properties
Space-group type = P3m1, No. 156
Polymorph energy (0 for the lowest one) = 0.0 meV per atom
E_form = 0.3598 eV/atom

---

SrAcSmEu | PBE-GGA | relaxed

Unit cell a=6.228 b=6.228 c=6.228 alpha=60.00 beta=60.00 gamma=60.00
Sites, in units of the cell vectors:
1 Eu 0.000 0.000 0.000
2 Sr 0.250 0.250 0.250
3 Ac 0.500 0.500 0.500
4 Sm 0.750 0.750 0.750

Properties
Space-group type = F-43m, No. 216
E_form = 0.1476 eV/atom

---

ZrHgB | PBE-GGA | relaxed

Unit cell a=3.607 b=3.139 c=9.384 alpha=90.00 beta=90.00 gamma=90.00
Sites, in units of the cell vectors:
1 B 0.000 0.000 0.124
2 B 0.000 0.500 0.192
3 Hg 0.000 0.000 0.801
4 Hg 0.500 0.500 0.588
5 Zr 0.000 0.000 0.378
6 Zr 0.500 0.500 0.024

Properties
Space-group type = Pmm2, No. 25
Polymorph energy (0 for the lowest one) = 345.5 meV per atom
E_form = -0.2097 eV/atom

---

Number 1: calculated total energy -45.268 eV per cell. Number 2: calculated total energy -128.943 eV per cell. Number 3: calculated total energy -69.530 eV per cell. Number 4: calculated total energy -18.870 eV per cell. Number 5: calculated total energy -20.193 eV per cell. Number 6: calculated total energy -32.313 eV per cell.